1.
Density functional theory data (PBE) for an optimized crystal structure of Ce2AsSe.

```
Ce2AsSe
1.0
-3.050 -2.301 1.795
0.811 -3.935 1.297
1.070 0.332 7.208
As Se Ce
1 1 2
Cartesian
0.000 0.000 0.000 As
-0.585 -2.952 5.150 Se
-0.301 -1.488 2.545 Ce
-0.868 -4.416 7.755 Ce
```

Summary:
**Energy relative to the lowest polymorph listed for this composition**: 4.5 meV per atom
**Spin magnetization**: 1.8 μB per cell

---

2.
Density functional theory data (PBE) for an optimized crystal structure of Ce3AsSe6.

```
Ce3AsSe6
1.0
7.110 0.000 0.000
0.000 9.062 -0.184
0.000 -2.202 8.793
Ce As Se
6 2 12
Cartesian
3.251 6.861 6.211 Ce
6.806 4.523 8.074 Ce
2.663 2.298 5.206 Ce
6.218 4.562 3.402 Ce
6.806 -0.001 2.397 Ce
3.251 2.337 0.534 Ce
0.589 -0.134 7.144 As
4.144 6.994 1.464 As
1.143 4.897 5.517 Se
4.698 4.285 6.005 Se
1.419 2.057 7.918 Se
4.974 7.259 3.772 Se
1.985 8.751 0.064 Se
4.365 0.479 6.656 Se
0.809 6.381 1.953 Se
5.540 -1.891 8.544 Se
1.419 -0.399 4.837 Se
4.974 4.804 0.691 Se
1.143 2.575 2.603 Se
4.698 1.963 3.091 Se
```

Summary:
**Spin magnetization**: 2.6 μB per cell

---

E_form (uncorrected) (eV per atom)
-1.642; -1.349